[1]
An optimized crystal structure of Mn2Hg. Source: Alexandria, functional PBE-GGA.

Lattice parameters (Å, degrees): 3.6429 3.6429 13.8295 90.00 90.00 90.00
With the nearest neighbours (Å) after each atom.
Space group I4_1/amd (No. 141, origin choice 2)
Asymmetric unit:
Mn 0.0000 0.2500 0.2918 [8 per cell]  3 Mn 2.16-2.30
Hg 0.0000 0.2500 0.8750 [4 per cell]  12 Mn 2.82-2.94

Computed properties:
- V (Å³/atom) = 15.29
- size of the total moment (μB/cell) = 4.79
- calculated total energy (eV/atom) = -5.41
- formation energy (meV per atom) = 799



[2]
An optimized crystal structure of Mn2Hg. Source: Alexandria, functional PBE-GGA.

Lattice parameters (Å, degrees): 2.9559 2.9559 14.0024 90.00 90.00 120.00
With the nearest neighbours (Å) after each atom.
Space group P-3m1 (No. 164)
Asymmetric unit:
Mn 0.3333 0.6667 0.2262 [2 per cell]  9 Mn 2.70-2.96, 3 Hg 2.94
Mn 0.3333 0.6667 0.9235 [2 per cell]  12 Mn 2.70-2.96
Hg 0.3333 0.6667 0.6031 [2 per cell]  3 Mn 2.94, 6 Hg 2.96

Computed properties:
- V (Å³/atom) = 17.66
- size of the total moment (μB/cell) = 14.61
- calculated total energy (eV/atom) = -5.71
- formation energy (meV per atom) = 504



[3]
An optimized crystal structure of Mn3Hg. Source: Alexandria, functional PBE-GGA.

Lattice parameters (Å, degrees): 5.2102 5.2102 5.2102 90.00 90.00 90.00
With the nearest neighbours (Å) after each atom.
Space group Pm-3m (No. 221)
Asymmetric unit:
Mn 0.0000 0.0000 0.5000 [3 per cell]  2 Hg 2.61
Hg 0.0000 0.0000 0.0000 [1 per cell]  6 Mn 2.61

Computed properties:
- V (Å³/atom) = 35.36
- size of the total moment (μB/cell) = 13.91
- calculated total energy (eV/atom) = -5.41
- formation energy (meV per atom) = 1540



[4]
An optimized crystal structure of Mn5Hg3. Source: Alexandria, functional PBE-GGA.

Lattice parameters (Å, degrees): 7.9584 8.4355 4.1147 90.00 90.00 90.00
With the nearest neighbours (Å) after each atom.
Space group Cmmm (No. 65)
Asymmetric unit:
Mn 0.0000 0.0000 0.0000 [2 per cell]  4 Hg 2.82, 8 Mn 2.89-2.90
Mn 0.2457 0.5000 0.5000 [4 per cell]  6 Hg 2.80-3.01, 6 Mn 2.89-2.95
Mn 0.2500 0.2500 0.0000 [4 per cell]  6 Hg 2.87-2.90, 6 Mn 2.90-2.95
Hg 0.0000 0.2295 0.5000 [4 per cell]  10 Mn 2.80-3.01, 2 Hg 3.07
Hg 0.0000 0.5000 0.0000 [2 per cell]  8 Mn 2.84-2.90, 4 Hg 3.07

Computed properties:
- V (Å³/atom) = 17.26
- size of the total moment (μB/cell) = 37.18
- calculated total energy (eV/atom) = -5.44
- formation energy (meV per atom) = 408



[5]
An optimized crystal structure of MnHg3. Source: Alexandria, functional PBE-GGA.

Lattice parameters (Å, degrees): 4.3989 4.3989 17.6775 90.00 90.00 90.00
With the nearest neighbours (Å) after each atom.
Space group I4/mmm (No. 139)
Asymmetric unit:
Mn 0.0000 0.0000 0.1236 [4 per cell]  12 Hg 3.10-3.13
Hg 0.0000 0.0000 0.3736 [4 per cell]  8 Hg 3.10-3.14, 4 Mn 3.11
Hg 0.0000 0.5000 0.0000 [4 per cell]  4 Mn 3.10, 8 Hg 3.11-3.14
Hg 0.0000 0.5000 0.2500 [4 per cell]  8 Hg 3.10-3.11, 4 Mn 3.13

Computed properties:
- V (Å³/atom) = 21.38
- size of the total moment (μB/cell) = 16.85
- calculated total energy (eV/atom) = -2.22
- formation energy (meV per atom) = 303



[6]
An optimized crystal structure of MnHg. Source: Alexandria, functional PBE-GGA.

Lattice parameters (Å, degrees): 3.0455 3.0455 28.4327 90.00 90.00 120.00
With the nearest neighbours (Å) after each atom.
Space group R-3m (No. 166, hexagonal axes)
Asymmetric unit:
Mn 0.0000 0.0000 0.1310 [6 per cell]  3 Mn 2.68, 3 Hg 2.91
Hg 0.0000 0.0000 0.3826 [6 per cell]  3 Mn 2.91, 6 Hg 3.05

Computed properties:
- V (Å³/atom) = 19.03
- excess energy over the best structure of this formula in the dataset (meV per atom) = 86
- size of the total moment (μB/cell) = 22.01
- calculated total energy (eV/atom) = -4.33
- formation energy (meV per atom) = 410



[7]
An optimized crystal structure of MnHg. Source: Alexandria, functional PBE-GGA.

Lattice parameters (Å, degrees): 9.9368 9.9368 3.0520 90.00 90.00 90.00
With the nearest neighbours (Å) after each atom.
Space group I4/m (No. 87)
Asymmetric unit:
Mn 0.0363 0.6516 0.0000 [8 per cell]  4 Mn 2.67, 5 Hg 2.88-2.95
Hg 0.1323 0.1694 0.5000 [8 per cell]  5 Mn 2.88-2.95, 6 Hg 3.02-3.22

Computed properties:
- V (Å³/atom) = 18.83
- excess energy over the best structure of this formula in the dataset (meV per atom) = 30
- size of the total moment (μB/cell) = 28.28
- calculated total energy (eV/atom) = -4.38
- formation energy (meV per atom) = 354



[8]
An optimized crystal structure of MnHg. Source: Alexandria, functional PBE-GGA.

Lattice parameters (Å, degrees): 6.7042 6.7042 6.7042 90.00 90.00 90.00
With the nearest neighbours (Å) after each atom.
Space group Fd-3m (No. 227, origin choice 2)
Asymmetric unit:
Mn 0.1250 0.1250 0.1250 [8 per cell]  4 Hg 2.90, 4 Mn 2.90
Hg 0.1250 0.1250 0.6250 [8 per cell]  4 Mn 2.90, 4 Hg 2.90

Computed properties:
- V (Å³/atom) = 18.83
- excess energy over the best structure of this formula in the dataset (meV per atom) = 187
- size of the total moment (μB/cell) = 32.71
- calculated total energy (eV/atom) = -4.22
- formation energy (meV per atom) = 511



[9]
An optimized crystal structure of MnHg. Source: Alexandria, functional PBE-GGA.

Lattice parameters (Å, degrees): 3.0505 3.0505 9.5128 90.00 90.00 120.00
With the nearest neighbours (Å) after each atom.
Space group P-3m1 (No. 164)
Asymmetric unit:
Mn 0.3333 0.6667 0.3926 [2 per cell]  3 Mn 2.70, 3 Hg 2.92
Hg 0.3333 0.6667 0.8525 [2 per cell]  3 Mn 2.92, 6 Hg 3.05

Computed properties:
- V (Å³/atom) = 19.17
- excess energy over the best structure of this formula in the dataset (meV per atom) = 85
- size of the total moment (μB/cell) = 7.51
- calculated total energy (eV/atom) = -4.33
- formation energy (meV per atom) = 409



[10]
An optimized crystal structure of MnHg. Source: Alexandria, functional PBE-GGA.

Lattice parameters (Å, degrees): 3.0583 11.1352 4.4493 90.00 90.00 90.00
With the nearest neighbours (Å) after each atom.
Space group Cmcm (No. 63)
Asymmetric unit:
Mn 0.0000 0.1727 0.2500 [4 per cell]  5 Hg 2.71-2.87
Hg 0.0000 0.4161 0.2500 [4 per cell]  5 Mn 2.71-2.87, 2 Hg 2.90

Computed properties:
- V (Å³/atom) = 18.94
- excess energy over the best structure of this formula in the dataset (meV per atom) = 64
- size of the total moment (μB/cell) = 15.61
- calculated total energy (eV/atom) = -4.35
- formation energy (meV per atom) = 388



[11]
An optimized crystal structure of Mn2Hg5. Source: Alexandria, functional PBE-GGA.

Lattice parameters (Å, degrees): 9.9596 9.9596 3.0053 90.00 90.00 90.00
With the nearest neighbours (Å) after each atom.
Space group P4/mbm (No. 127)
Asymmetric unit:
Mn 0.1808 0.3192 0.0000 [4 per cell]  10 Hg 2.96-3.09, 2 Mn 3.01
Hg 0.0000 0.5000 0.5000 [2 per cell]  4 Mn 2.96, 6 Hg 3.01-3.02
Hg 0.0645 0.7967 0.5000 [8 per cell]  4 Mn 2.96-3.09, 6 Hg 3.00-3.27

Computed properties:
- V (Å³/atom) = 21.29
- size of the total moment (μB/cell) = 15.68
- calculated total energy (eV/atom) = -2.60
- formation energy (meV per atom) = 236



[12]
An optimized crystal structure of Mn3Hg. Source: Alexandria, functional PBE-GGA.

Lattice parameters (Å, degrees): 9.3600 2.9153 4.8747 90.00 101.51 90.00
With the nearest neighbours (Å) after each atom.
Space group C2/m (No. 12)
Asymmetric unit:
Mn 0.0000 0.0000 0.0000 [2 per cell]  8 Mn 2.78-2.92, 4 Hg 2.84
Mn 0.2473 0.5000 0.2316 [4 per cell]  9 Mn 2.70-2.99, 3 Hg 2.86-2.88
Hg 0.0000 0.5000 0.5000 [2 per cell]  10 Mn 2.84-2.88, 2 Hg 2.92

Computed properties:
- V (Å³/atom) = 16.29
- size of the total moment (μB/cell) = 21.51
- calculated total energy (eV/atom) = -6.47
- formation energy (meV per atom) = 482



Q: Look up the formation energy of the second one.
A: 504 meV per atom



Q: What is the V in the tenth record?
A: 18.94 Å³/atom